Density functional theory data (PBE) for crystalline AlTl2Hg at its relaxed geometry.

POSCAR file:
```
AlTl2Hg
1.0
-2.4396 2.4396 4.4298
2.4396 -2.4396 4.4298
2.4396 2.4396 -4.4298
Al Tl Hg
1 2 1
Direct
0.0000 0.0000 0.0000
0.5000 0.5000 0.0000
0.7500 0.2500 0.5000
0.2500 0.7500 0.5000
```

formation enthalpy at 0 K	0.1932	eV/atom
SG	I-4m2 (119)

***

Density functional theory data (PBE) for crystalline SiIr2Au at its relaxed geometry.

POSCAR file:
```
SiIr2Au
1.0
1.3835 -2.4556 0.0000
1.3835 2.4556 0.0000
0.0000 0.0000 9.1350
Si Ir Au
1 2 1
Direct
0.0000 0.0000 0.0000
0.0000 0.0000 0.4713
0.5000 0.5000 0.2151
0.5000 0.5000 0.7445
```

formation energy without anion corrections	0.26	eV/atom
SG	Cmm2 (35)

***

Density functional theory data (PBE) for crystalline ErTh2Mg at its relaxed geometry.

POSCAR file:
```
ErTh2Mg
1.0
0.0000 3.9108 3.9108
3.9108 0.0000 3.9108
3.9108 3.9108 0.0000
Er Th Mg
1 2 1
Direct
0.0000 0.0000 0.0000
0.2500 0.2500 0.2500
0.7500 0.7500 0.7500
0.5000 0.5000 0.5000
```

formation enthalpy at 0 K	0.1381	eV/atom
SG	Fm-3m (225)

***

Density functional theory data (PBE) for crystalline Re2SiTc at its relaxed geometry.

POSCAR file:
```
Re2SiTc
1.0
-1.8527 1.8527 4.1736
1.8527 -1.8527 4.1736
1.8527 1.8527 -4.1736
Re Si Tc
2 1 1
Direct
0.2500 0.7500 0.5000
0.7500 0.2500 0.5000
0.0000 0.0000 0.0000
0.5000 0.5000 0.0000
```

formation energy without anion corrections	0.08	eV/atom
SG	I4/mmm (139)

***

Density functional theory data (PBE) for crystalline Cr2MoAu2 at its relaxed geometry.

POSCAR file:
```
Cr2MoAu2
1.0
-1.8881 1.8881 5.7007
1.8881 -1.8881 5.7007
1.8881 1.8881 -5.7007
Cr Mo Au
2 1 2
Direct
0.0826 0.0826 0.0000
0.9174 0.9174 0.0000
0.5000 0.5000 0.0000
0.2500 0.7500 0.5000
0.7500 0.2500 0.5000
```

formation enthalpy at 0 K	0.5747	eV/atom
SG	I4/mmm (139)

***

Density functional theory data (PBE) for crystalline CeGa4 at its relaxed geometry.

POSCAR file:
```
CeGa4
1.0
9.5089 0.0000 0.0000
0.0000 9.5089 0.0000
0.0000 0.0000 5.2183
Ce Ga
4 16
Direct
0.2196 0.2804 0.0000
0.2804 0.7804 0.0000
0.7196 0.2196 0.0000
0.7804 0.7196 0.0000
0.0000 0.0000 0.2274
0.0000 0.0000 0.7726
0.0853 0.7840 0.5000
0.0950 0.4050 0.5000
0.2160 0.0853 0.5000
0.2840 0.5853 0.5000
0.4050 0.9050 0.5000
0.4147 0.2840 0.5000
0.5000 0.5000 0.2274
0.5000 0.5000 0.7726
0.5853 0.7160 0.5000
0.5950 0.0950 0.5000
0.7160 0.4147 0.5000
0.7840 0.9147 0.5000
0.9050 0.5950 0.5000
0.9147 0.2160 0.5000
```

formation enthalpy at 0 K	-0.0997	eV/atom
SG	P4/mbm (127)

***

Density functional theory data (PBE) for crystalline KSbO2F at its relaxed geometry.

POSCAR file:
```
KSbO2F
1.0
4.1461 0.0000 0.0000
0.0000 4.1461 0.0000
0.0000 0.0000 4.5559
K Sb O F
1 1 2 1
Direct
0.0000 0.0000 0.0000
0.5000 0.5000 0.5000
0.0000 0.5000 0.5000
0.5000 0.0000 0.5000
0.5000 0.5000 0.0000
```

formation energy without anion corrections	-1.74	eV/atom
SG	P4/mmm (123)

***

Density functional theory data (PBE) for crystalline YZrAg2 at its relaxed geometry.

POSCAR file:
```
YZrAg2
1.0
-3.9873 3.9873 2.9534
3.9873 -3.9873 2.9534
3.9873 3.9873 -2.9534
Y Zr Ag
2 2 4
Direct
0.0000 0.0000 0.0000
0.7500 0.2500 0.5000
0.2500 0.7500 0.5000
0.5000 0.5000 0.0000
0.1399 0.6250 0.0149
0.3750 0.3899 0.5149
0.6101 0.1250 0.9851
0.8750 0.8601 0.4851
```

formation enthalpy at 0 K	0.2565	eV/atom
SG	I-42d (122)

***

Density functional theory data (PBE) for crystalline RbCr2CuPb at its relaxed geometry.

POSCAR file:
```
RbCr2CuPb
1.0
5.6257 0.0000 0.0000
0.0000 5.6257 0.0000
0.0000 0.0000 5.2076
Rb Cr Cu Pb
1 2 1 1
Direct
0.0000 0.0000 0.0000
0.0000 0.5000 0.0000
0.5000 0.0000 0.0000
0.0000 0.0000 0.5000
0.5000 0.5000 0.5000
```

formation enthalpy at 0 K	1.9450	eV/atom
SG	P4/mmm (123)

***

Density functional theory data (PBE) for crystalline LaPm2Nd4Dy2 at its relaxed geometry.

POSCAR file:
```
LaPm2Nd4Dy2
1.0
7.7512 -2.5851 0.0000
7.7512 2.5851 0.0000
-2.5851 0.0000 7.7372
La Pm Nd Dy
1 2 4 2
Direct
0.0000 0.0000 0.0000
0.1116 0.1116 0.6670
0.8884 0.8884 0.3330
0.2223 0.2223 0.3306
0.4445 0.4445 0.6671
0.5555 0.5555 0.3329
0.7777 0.7777 0.6694
0.3314 0.3314 0.0013
0.6686 0.6686 0.9987
```

formation enthalpy at 0 K	0.0181	eV/atom
SG	C2/m (12)

***

Density functional theory data (PBE) for crystalline Li2LaCu at its relaxed geometry.

POSCAR file:
```
Li2LaCu
1.0
4.0669 0.0000 0.0000
0.0000 8.2609 0.0000
-2.0291 0.0000 5.1929
Li La Cu
4 2 2
Direct
0.1632 0.0547 0.3271
0.1632 0.4453 0.3271
0.8368 0.5547 0.6729
0.8368 0.9453 0.6729
0.4427 0.2500 0.8867
0.5573 0.7500 0.1133
0.2711 0.7500 0.5401
0.7289 0.2500 0.4599
```

formation enthalpy at 0 K	-0.0259	eV/atom
SG	P2_1/m (11)

***

Density functional theory data (PBE) for crystalline Mg2P2Os at its relaxed geometry.

POSCAR file:
```
Mg2P2Os
1.0
6.0043 0.0000 0.0000
0.0000 6.0043 0.0000
0.0000 0.0000 4.3771
Mg P Os
4 4 2
Direct
0.1869 0.3131 0.0000
0.3131 0.8131 0.0000
0.6869 0.1869 0.0000
0.8131 0.6869 0.0000
0.1303 0.6303 0.5000
0.3697 0.1303 0.5000
0.6303 0.8697 0.5000
0.8697 0.3697 0.5000
0.0000 0.0000 0.5000
0.5000 0.5000 0.5000
```

formation enthalpy at 0 K	-0.4178	eV/atom
SG	P4/mbm (127)

***

N(E_F) (computed, states/eV/cell): 1.9; 3.8; 4.2; 4.1; 0.6; 29.3; 0.6; 8.8; 2.8; 14.3; 6.0; 2.1